Here is a geometry-optimized TbPm2PrAs4 structure from Alexandria via LeMat-Bulk. Energies are from GGA-PBE.

a b c (Å): 7.3278 4.2354 7.3283
angles (deg): 90.00 109.46 90.00
Positions (direct):
Tb: 0.0000 0.0000 0.0000
Pm: 0.5000 0.0000 0.5000
Pm: 0.5000 0.5000 0.0000
Pr: 0.0000 0.5000 0.5000
As: 0.2474 0.5000 0.2447
As: 0.2507 0.0000 0.7548
As: 0.7493 0.0000 0.2452
As: 0.7526 0.5000 0.7553

Values from the calculation:
symmetry = P2/m (10)
calculated formation energy = -1172 kJ/mol of formula units
V = 26.81 Å³ per atom
DOS(E_F) = 0.68 states/eV/cell